1.
La5Y8Er (PBE, optimized geometry); SG = No. 5; DFT formation energy = 0.230 eV per atom
1.0
8.380 0.168 -2.978
-4.037 6.513 -3.095
-0.109 -0.168 8.893
Y La Er
8 5 1
direct
0.082 0.751 0.479
0.572 0.882 0.807
0.656 0.401 0.922
0.728 0.249 0.331
0.520 0.599 0.254
0.925 0.118 0.690
0.143 0.708 0.069
0.360 0.292 0.435
0.828 0.685 0.712
0.500 0.000 0.500
0.309 0.088 0.967
0.879 0.912 0.221
0.027 0.315 0.143
0.221 0.500 0.721

=====

2.
La2YEr7 (PBE, optimized geometry); E above lowest polymorph = 0.000 eV per atom; SG = No. 2; DFT formation energy = 0.029 eV per atom
1.0
6.100 0.867 0.229
0.906 8.934 -2.913
0.849 -0.226 6.091
Y Er La
1 7 2
direct
0.000 0.000 0.000
0.500 0.901 0.203
0.001 0.800 0.398
0.001 0.400 0.198
0.999 0.600 0.802
0.999 0.200 0.602
0.500 0.500 0.000
0.500 0.099 0.797
0.500 0.701 0.602
0.500 0.299 0.398

=====

3.
La4Y7Er (PBE, optimized geometry); E above lowest polymorph = 0.256 eV per atom; SG = No. 12; DFT formation energy = 0.273 eV per atom
1.0
5.946 0.000 0.000
2.973 11.728 -0.622
2.973 0.090 6.030
Y La Er
7 4 1
direct
0.027 0.626 0.319
0.203 0.086 0.508
0.351 0.515 0.784
0.973 0.374 0.681
0.649 0.485 0.216
0.797 0.914 0.492
0.500 0.000 0.000
0.647 0.224 0.483
0.353 0.776 0.517
0.313 0.284 0.090
0.687 0.716 0.910
0.000 0.000 0.000